ScTaNi14: relaxed, GGA-PBE.

a = 5.117 Å, b = 5.117 Å, c = 7.172 Å
α = 90.00°, β = 90.00°, γ = 90.00°
Positions (direct):
Sc 0.000 0.000 0.000
Ta 0.500 0.500 0.000
Ni 0.000 0.000 0.500
Ni 0.000 0.500 0.000
Ni 0.000 0.500 0.500
Ni 0.253 0.253 0.262
Ni 0.253 0.253 0.738
Ni 0.253 0.747 0.262
Ni 0.253 0.747 0.738
Ni 0.500 0.000 0.000
Ni 0.500 0.000 0.500
Ni 0.500 0.500 0.500
Ni 0.747 0.253 0.262
Ni 0.747 0.253 0.738
Ni 0.747 0.747 0.262
Ni 0.747 0.747 0.738

Output
The formation energy comes out at -15.85 kJ/mol of atoms. As for the space-group type: P4/mmm, No. 123. As for the total magnetization: 0.3087 μB per atom.

***

Sc2TaNi: relaxed, GGA-PBE.

a = 5.521 Å, b = 5.521 Å, c = 5.521 Å
α = 146.06°, β = 128.84°, γ = 62.82°
Positions (direct):
Sc 0.213 0.213 0.000
Sc 0.787 0.787 0.000
Ta 0.500 0.000 0.500
Ni 0.000 0.500 0.500

Output
The formation energy comes out at 3.13 kJ/mol of atoms. As for the space-group type: Immm, No. 71. The distance to the lowest polymorph of the same formula comes out at 0.63 eV per formula unit. As for the total magnetization: 0.0002 μB per atom.

***

ScTaNi2: relaxed, GGA-PBE.

a = 4.164 Å, b = 4.164 Å, c = 5.809 Å
α = 98.21°, β = 98.21°, γ = 40.42°
Positions (direct):
Sc 0.000 0.000 0.000
Ta 0.500 0.500 0.500
Ni 0.251 0.251 0.718
Ni 0.749 0.749 0.282

Output
The formation energy comes out at -1.63 kJ/mol of atoms. As for the space-group type: C2/m, No. 12. As for the total magnetization: 0.0000 μB per atom.

***

ScTa2Ni: relaxed, GGA-PBE.

a = 4.579 Å, b = 4.579 Å, c = 4.579 Å
α = 60.00°, β = 60.00°, γ = 60.00°
Positions (direct):
Sc 0.000 0.000 0.000
Ta 0.500 0.500 0.500
Ta 0.750 0.750 0.750
Ni 0.250 0.250 0.250

Output
The formation energy comes out at 10.08 kJ/mol of atoms. As for the space-group type: F-43m, No. 216. The distance to the lowest polymorph of the same formula comes out at 0.67 eV per formula unit. As for the total magnetization: 0.0001 μB per atom.